a:
! SmDyTe | Alexandria | GGA-PBE | relaxed; values from VASP
&SYSTEM
  ibrav = 0, nat = 6, ntyp = 3
/
ATOMIC_SPECIES
Sm 150.36 Sm.upf
Dy 162.50 Dy.upf
Te 127.60 Te.upf
ATOMIC_POSITIONS angstrom
Sm 1.554 0.000 1.180
Sm 7.087 0.000 7.016
Dy 2.778 0.000 4.411
Dy 5.862 0.000 3.785
Te -1.319 0.000 6.252
Te 9.959 0.000 1.943
CELL_PARAMETERS angstrom
5.864 -1.925 0.000
5.864 1.925 0.000
-3.086 0.000 8.196
! calculated volume: 30.84 A^3/atom
! Fermi-level density of states: 1.31 states/eV per atom


b:
! SmDyTe | Alexandria | GGA-PBE | relaxed; values from VASP
&SYSTEM
  ibrav = 0, nat = 12, ntyp = 3
/
ATOMIC_SPECIES
Sm 150.36 Sm.upf
Dy 162.50 Dy.upf
Te 127.60 Te.upf
ATOMIC_POSITIONS angstrom
Sm 0.883 3.110 0.000
Sm 3.110 8.849 2.126
Sm 6.623 0.883 2.126
Sm 8.849 6.623 0.000
Dy 3.519 6.132 0.000
Dy 3.600 3.519 2.126
Dy 6.132 6.213 2.126
Dy 6.213 3.600 0.000
Te 1.357 5.959 2.126
Te 3.773 1.357 0.000
Te 5.959 8.376 0.000
Te 8.376 3.773 2.126
CELL_PARAMETERS angstrom
9.732 0.000 0.000
0.000 9.732 0.000
0.000 0.000 4.252
! calculated volume: 33.56 A^3/atom
! Fermi-level density of states: 1.46 states/eV per atom


c:
! SmDyTe | Alexandria | GGA-PBE | relaxed; values from VASP
&SYSTEM
  ibrav = 0, nat = 3, ntyp = 3
/
ATOMIC_SPECIES
Sm 150.36 Sm.upf
Dy 162.50 Dy.upf
Te 127.60 Te.upf
ATOMIC_POSITIONS angstrom
Sm 0.000 0.000 0.000
Dy 0.000 0.000 3.617
Te 0.000 0.000 7.746
CELL_PARAMETERS angstrom
-1.954 1.954 5.847
1.954 -1.954 5.847
1.954 1.954 -5.847
! calculated volume: 29.76 A^3/atom
! Fermi-level density of states: 0.80 states/eV per atom


Which structure is the least stable? The one labeled b.